No. 1
YHg5: relaxed, PBEsol.

Geometry as CIF:
```
data_YHg5
_cell_length_a 4.3790
_cell_length_b 13.1907
_cell_length_c 4.7054
_cell_angle_alpha 90.00
_cell_angle_beta 90.00
_cell_angle_gamma 90.00
_symmetry_space_group_name_H-M 'C m m m'
_symmetry_Int_Tables_number 65
_symmetry_space_group_name_Hall '-C 2 2'
loop_
_atom_site_label
_atom_site_type_symbol
_atom_site_fract_x
_atom_site_fract_y
_atom_site_fract_z
_atom_site_occupancy
Y1 Y 0.0000 0.0000 0.0000 1
Hg1 Hg 0.0000 0.1642 0.5000 1
Hg2 Hg 0.0000 0.3302 0.0000 1
Hg3 Hg 0.0000 0.5000 0.5000 1
```

## Properties
Total magnetic moment ... 0.00 μB/cell
Density of states at the Fermi level ... 0.45 states/eV/atom
Calculated formation energy ... -0.315 eV/atom



No. 2
YHg2: relaxed, PBEsol.

Geometry as CIF:
```
data_YHg2
_cell_length_a 4.8424
_cell_length_b 4.8424
_cell_length_c 3.3912
_cell_angle_alpha 90.00
_cell_angle_beta 90.00
_cell_angle_gamma 120.00
_symmetry_space_group_name_H-M 'P 6/m m m'
_symmetry_Int_Tables_number 191
_symmetry_space_group_name_Hall '-P 6 2'
loop_
_atom_site_label
_atom_site_type_symbol
_atom_site_fract_x
_atom_site_fract_y
_atom_site_fract_z
_atom_site_occupancy
Y1 Y 0.0000 0.0000 0.0000 1
Hg1 Hg 0.3333 0.6667 0.5000 1
```

## Properties
Total magnetic moment ... 0.00 μB/cell
Density of states at the Fermi level ... 0.60 states/eV/atom
Calculated formation energy ... -0.539 eV/atom



No. 3
Y3Hg5: relaxed, PBEsol.

Geometry as CIF:
```
data_Y3Hg5
_cell_length_a 7.5642
_cell_length_b 10.0283
_cell_length_c 4.9855
_cell_angle_alpha 90.00
_cell_angle_beta 90.00
_cell_angle_gamma 90.00
_symmetry_space_group_name_H-M 'C m m m'
_symmetry_Int_Tables_number 65
_symmetry_space_group_name_Hall '-C 2 2'
loop_
_atom_site_label
_atom_site_type_symbol
_atom_site_fract_x
_atom_site_fract_y
_atom_site_fract_z
_atom_site_occupancy
Y1 Y 0.0000 0.0000 0.0000 1
Y2 Y 0.0000 0.2838 0.5000 1
Hg1 Hg 0.0000 0.5000 0.0000 1
Hg2 Hg 0.2188 0.0000 0.5000 1
Hg3 Hg 0.2500 0.2500 0.0000 1
```

## Properties
Total magnetic moment ... 0.00 μB/cell
Density of states at the Fermi level ... 0.57 states/eV/atom
Calculated formation energy ... -0.553 eV/atom



No. 4
Y2Hg: relaxed, PBEsol.

Geometry as CIF:
```
data_Y2Hg
_cell_length_a 3.6788
_cell_length_b 16.5270
_cell_length_c 5.2330
_cell_angle_alpha 90.00
_cell_angle_beta 90.00
_cell_angle_gamma 90.00
_symmetry_space_group_name_H-M 'C m c m'
_symmetry_Int_Tables_number 63
_symmetry_space_group_name_Hall '-C 2c 2'
loop_
_atom_site_label
_atom_site_type_symbol
_atom_site_fract_x
_atom_site_fract_y
_atom_site_fract_z
_atom_site_occupancy
Y1 Y 0.0000 0.0812 0.2500 1
Y2 Y 0.0000 0.2253 0.7500 1
Hg1 Hg 0.0000 0.4225 0.2500 1
```

## Properties
Total magnetic moment ... 0.00 μB/cell
Density of states at the Fermi level ... 1.02 states/eV/atom
Calculated formation energy ... -0.414 eV/atom



No. 5
YHg2: relaxed, PBEsol.

Geometry as CIF:
```
data_YHg2
_cell_length_a 5.0686
_cell_length_b 5.0686
_cell_length_c 6.2232
_cell_angle_alpha 90.00
_cell_angle_beta 90.00
_cell_angle_gamma 120.00
_symmetry_space_group_name_H-M 'P 63/m m c'
_symmetry_Int_Tables_number 194
_symmetry_space_group_name_Hall '-P 6c 2c'
loop_
_atom_site_label
_atom_site_type_symbol
_atom_site_fract_x
_atom_site_fract_y
_atom_site_fract_z
_atom_site_occupancy
Y1 Y 0.3333 0.6667 0.2500 1
Hg1 Hg 0.0000 0.0000 0.0000 1
Hg2 Hg 0.3333 0.6667 0.7500 1
```

## Properties
Total magnetic moment ... 0.00 μB/cell
Density of states at the Fermi level ... 0.54 states/eV/atom
Calculated formation energy ... -0.539 eV/atom



No. 6
YHg2: relaxed, PBEsol.

Geometry as CIF:
```
data_YHg2
_cell_length_a 3.5554
_cell_length_b 3.5554
_cell_length_c 23.7231
_cell_angle_alpha 90.00
_cell_angle_beta 90.00
_cell_angle_gamma 90.00
_symmetry_space_group_name_H-M 'I 41/a m d'
_symmetry_Int_Tables_number 141
loop_
_symmetry_equiv_pos_as_xyz
'x,y,z'
'-x,-y,-z'
'-y+1/4,x+3/4,z+1/4'
'y+1/4,-x+3/4,-z+1/4'
'-x+1/2,-y,z+1/2'
'x+1/2,y,-z+1/2'
'y+1/4,-x+1/4,z+3/4'
'-y+1/4,x+1/4,-z+3/4'
'x,-y,-z'
'-x,y,z'
'-y+1/4,-x+1/4,-z+3/4'
'y+1/4,x+1/4,z+3/4'
'-x+1/2,y,-z+1/2'
'x+1/2,-y,z+1/2'
'y+1/4,x+3/4,-z+1/4'
'-y+1/4,-x+3/4,z+1/4'
'x+1/2,y+1/2,z+1/2'
'-x+1/2,-y+1/2,-z+1/2'
'-y+3/4,x+1/4,z+3/4'
'y+3/4,-x+1/4,-z+3/4'
'-x,-y+1/2,z'
'x,y+1/2,-z'
'y+3/4,-x+3/4,z+1/4'
'-y+3/4,x+3/4,-z+1/4'
'x+1/2,-y+1/2,-z+1/2'
'-x+1/2,y+1/2,z+1/2'
'-y+3/4,-x+3/4,-z+1/4'
'y+3/4,x+3/4,z+1/4'
'-x,y+1/2,-z'
'x,-y+1/2,z'
'y+3/4,x+1/4,-z+3/4'
'-y+3/4,-x+1/4,z+3/4'
loop_
_atom_site_label
_atom_site_type_symbol
_atom_site_fract_x
_atom_site_fract_y
_atom_site_fract_z
_atom_site_occupancy
Y1 Y 0.0000 0.2500 0.3750 1
Hg1 Hg 0.0000 0.2500 0.7971 1
```

## Properties
Total magnetic moment ... 1.30 μB/cell
Density of states at the Fermi level ... 0.85 states/eV/atom
Calculated formation energy ... -0.350 eV/atom